A relaxed structure of HRhSe2, computed with GGA-PBE.

Output
N(E_F) ... 0.424 states/eV/atom
Space-group type ... Pnma
Total energy ... -4.515 eV/atom

a = 5.0319 Å, b = 9.8448 Å, c = 5.2590 Å
α = 90.00°, β = 90.00°, γ = 90.00°
With the nearest neighbours (Å) after each atom.
Sites, in units of the cell vectors:
H 0.2112 0.8618 0.0624  1 Se 1.50
H 0.7888 0.1382 0.5624  1 Se 1.50
H 0.2888 0.3618 0.5624  1 Se 1.50
H 0.7112 0.6382 0.0624  1 Se 1.50
Rh 0.9857 0.3448 0.0625  6 Se 2.41-2.67
Rh 0.0143 0.6552 0.5625  6 Se 2.41-2.67
Rh 0.5143 0.8448 0.5625  6 Se 2.41-2.67
Rh 0.4857 0.1552 0.0625  6 Se 2.41-2.67
Se 0.5037 0.8899 0.0625  1 H 1.50
Se 0.4963 0.1101 0.5625  1 H 1.50
Se 0.9963 0.3899 0.5625  1 H 1.50
Se 0.0037 0.6101 0.0625  1 H 1.50
Se 0.0116 0.8998 0.5624  3 Rh 2.41-2.59, 1 H 2.60
Se 0.9884 0.1002 0.0624  3 Rh 2.41-2.59, 1 H 2.60
Se 0.4884 0.3998 0.0624  3 Rh 2.41-2.59, 1 H 2.60
Se 0.5116 0.6002 0.5624  3 Rh 2.41-2.59, 1 H 2.60

A relaxed structure of HRhSe2, computed with GGA-PBE.

Output
N(E_F) ... 0.000 states/eV/atom
Space-group type ... P1
Total energy ... -4.695 eV/atom

a = 5.9391 Å, b = 3.7213 Å, c = 8.4961 Å
α = 98.93°, β = 98.81°, γ = 83.38°
With the nearest neighbours (Å) after each atom.
Sites, in units of the cell vectors:
H 0.3033 0.6726 0.1525  1 H 0.75
H 0.2822 0.7989 0.0895  1 H 0.75
Rh 0.0825 0.5292 0.6153  6 Se 2.45-2.55
Rh 0.6469 0.9242 0.6288  6 Se 2.45-2.55
Se 0.3010 0.0440 0.7760  3 Rh 2.53-2.55
Se 0.9139 0.9880 0.4421  3 Rh 2.45-2.51
Se 0.8147 0.4659 0.8020  3 Rh 2.45-2.51
Se 0.4286 0.4099 0.4681  3 Rh 2.53-2.55

A relaxed structure of HRhSe3, computed with GGA-PBE.

Output
N(E_F) ... 1.520 states/eV/atom
Space-group type ... Pm-3m
Total energy ... -3.368 eV/atom

a = 4.9382 Å, b = 4.9382 Å, c = 4.9382 Å
α = 90.00°, β = 90.00°, γ = 90.00°
With the nearest neighbours (Å) after each atom.
Sites, in units of the cell vectors:
H 0.5000 0.5000 0.5000  12 Se 3.49
Rh 0.0000 0.0000 0.0000  6 Se 2.47
Se 0.0000 0.5000 0.0000  2 Rh 2.47
Se 0.0000 0.0000 0.5000  2 Rh 2.47
Se 0.5000 0.0000 0.0000  2 Rh 2.47

A relaxed structure of Sn2HRhSe, computed with GGA-PBE.

Output
N(E_F) ... 0.679 states/eV/atom
Space-group type ... P4/mmm
Total energy ... -3.971 eV/atom

a = 5.1589 Å, b = 4.8480 Å, c = 5.1589 Å
α = 90.00°, β = 90.00°, γ = 90.00°
With the nearest neighbours (Å) after each atom.
Sites, in units of the cell vectors:
H 0.5000 0.5000 0.5000  8 Sn 3.54, 4 Se 3.65
Rh 0.0000 0.0000 0.0000  2 Se 2.42, 4 Sn 2.58
Sn 0.0000 0.0000 0.5000  2 Rh 2.58
Sn 0.5000 0.0000 0.0000  2 Rh 2.58
Se 0.0000 0.5000 0.0000  2 Rh 2.42

A relaxed structure of SrHRh2Se, computed with GGA-PBE.

Output
N(E_F) ... 1.081 states/eV/atom
Space-group type ... P4/mmm
Total energy ... -4.815 eV/atom

a = 4.1100 Å, b = 4.7574 Å, c = 4.1100 Å
α = 90.00°, β = 90.00°, γ = 90.00°
With the nearest neighbours (Å) after each atom.
Sites, in units of the cell vectors:
Sr 0.0000 0.5000 0.0000  2 H 2.38
Rh 0.0000 0.0000 0.5000  2 H 2.05
Rh 0.5000 0.0000 0.0000  2 H 2.05
Se 0.5000 0.5000 0.5000  4 Sr 2.91, 8 Rh 3.14
H 0.0000 0.0000 0.0000  4 Rh 2.05

A relaxed structure of Te2HRhSe, computed with GGA-PBE.

Output
N(E_F) ... 0.955 states/eV/atom
Space-group type ... P4/mmm
Total energy ... -3.032 eV/atom

a = 5.5841 Å, b = 4.5997 Å, c = 5.5841 Å
α = 90.00°, β = 90.00°, γ = 90.00°
With the nearest neighbours (Å) after each atom.
Sites, in units of the cell vectors:
H 0.5000 0.5000 0.5000  8 Te 3.62, 4 Rh 3.95
Te 0.0000 0.0000 0.5000  2 Se 2.79
Te 0.5000 0.0000 0.0000  2 Se 2.79
Rh 0.0000 0.5000 0.0000  2 Se 2.30
Se 0.0000 0.0000 0.0000  2 Rh 2.30

Respective magnetization values: 0.0; 0.0; 0.5; 0.0; 0.6; 1.9 μB/f.u..